(1)
The following is a GGA-PBE calculation of a relaxed structure of CoNi2Rh, from the Alexandria database.

Lattice parameters (Å, degrees): 2.582 2.582 7.153 90.00 90.00 90.00
Positions (direct):
Co 0.000 0.000 0.000
Ni 0.500 0.500 0.236
Ni 0.500 0.500 0.764
Rh 0.000 0.000 0.500

ΔE_f = 56 meV/atom
Calculated total energy = -25.80 eV per cell
Relative energy among the computed polymorphs = 43.9 meV per atom

***

(2)
The following is a GGA-PBE calculation of a relaxed structure of Cs3K2Rb8, from the Alexandria database.

Lattice parameters (Å, degrees): 12.507 12.507 8.693 107.58 107.58 82.29
Positions (direct):
Cs 0.000 0.000 0.000
Cs 0.236 0.764 0.500
Cs 0.764 0.236 0.500
K 0.167 0.167 0.572
K 0.833 0.833 0.428
Rb 0.079 0.570 0.820
Rb 0.293 0.293 0.144
Rb 0.430 0.921 0.180
Rb 0.437 0.437 0.718
Rb 0.563 0.563 0.282
Rb 0.570 0.079 0.820
Rb 0.707 0.707 0.856
Rb 0.921 0.430 0.180

ΔE_f = 20 meV/atom
Calculated total energy = -12.24 eV per cell
Relative energy among the computed polymorphs = 0.0 meV per atom

***

(3)
The following is a GGA-PBE calculation of a relaxed structure of Er3CdIn, from the Alexandria database.

Lattice parameters (Å, degrees): 10.756 10.756 5.085 90.00 90.00 152.64
Positions (direct):
Er 0.058 0.942 0.750
Er 0.250 0.750 0.750
Er 0.441 0.559 0.750
Er 0.559 0.441 0.250
Er 0.750 0.250 0.250
Er 0.942 0.058 0.250
Cd 0.154 0.846 0.250
Cd 0.846 0.154 0.750
In 0.344 0.656 0.250
In 0.656 0.344 0.750

ΔE_f = -305 meV/atom
Calculated total energy = -37.74 eV per cell
Relative energy among the computed polymorphs = 0.0 meV per atom

***

(4)
The following is a GGA-PBE calculation of a relaxed structure of TcHgRh2, from the Alexandria database.

Lattice parameters (Å, degrees): 4.021 4.021 7.782 90.00 90.00 90.00
Positions (direct):
Tc 0.000 0.000 0.000
Tc 0.500 0.500 0.500
Hg 0.000 0.000 0.500
Hg 0.500 0.500 0.000
Rh 0.000 0.500 0.250
Rh 0.000 0.500 0.750
Rh 0.500 0.000 0.250
Rh 0.500 0.000 0.750

ΔE_f = 248 meV/atom
Calculated total energy = -48.75 eV per cell

***

Looking at N(E_F) for the records above, in order, we have 6.4, 12.4, 6.1, 3.9 states/eV/f.u..